No. 1
Entry from Alexandria: a relaxed structure of LiPrNiPb (PBE).

abc: 6.830 6.830 6.830
angles: 90.00 90.00 90.00
Sites, in units of the cell vectors:
Li1 0.000 0.000 0.000
Li2 0.000 0.500 0.500
Li3 0.500 0.000 0.500
Li4 0.500 0.500 0.000
Pr1 0.250 0.250 0.250
Pr2 0.250 0.750 0.750
Pr3 0.750 0.250 0.750
Pr4 0.750 0.750 0.250
Ni1 0.000 0.000 0.500
Ni2 0.000 0.500 0.000
Ni3 0.500 0.000 0.000
Ni4 0.500 0.500 0.500
Pb1 0.250 0.250 0.750
Pb2 0.250 0.750 0.250
Pb3 0.750 0.250 0.250
Pb4 0.750 0.750 0.750

* symmetry: F-43m, No. 216
* magnetic moment: 0.000 Bohr magnetons per cell
* total energy: -17.69 eV per formula unit
* ρ: 8.62 g/cm³
* DFT formation energy: -377 meV per atom

---

No. 2
Entry from Alexandria: a relaxed structure of Hf2VCdH (PBE).

abc: 4.448 4.448 3.996
angles: 90.00 90.00 90.00
Sites, in units of the cell vectors:
Hf1 0.000 0.500 0.000
Hf2 0.500 0.000 0.000
V1 0.000 0.000 0.500
Cd1 0.500 0.500 0.500
H1 0.000 0.000 0.000

* symmetry: P4/mmm, No. 123
* magnetic moment: 1.087 Bohr magnetons per cell
* total energy: -33.41 eV per formula unit
* ρ: 10.95 g/cm³
* DOS(E_F): 3.0 states/eV/f.u.

---

No. 3
Entry from Alexandria: a relaxed structure of CuSeBr (PBE).

abc: 7.050 4.160 7.061
angles: 90.00 116.02 90.00
Sites, in units of the cell vectors:
Cu1 0.107 0.250 0.401
Cu2 0.893 0.750 0.599
Se1 0.099 0.250 0.065
Se2 0.901 0.750 0.935
Br1 0.260 0.750 0.595
Br2 0.740 0.250 0.405

* symmetry: P2_1/m, No. 11
* magnetic moment: 0.000 Bohr magnetons per cell
* total energy: -9.81 eV per formula unit
* ρ: 3.97 g/cm³
* DOS(E_F): 1.6 states/eV/f.u.
* E_form (uncorrected): -0.185 eV per atom

---

No. 4
Entry from Alexandria: a relaxed structure of Ac3BiP (PBE).

abc: 5.821 5.821 5.821
angles: 90.00 90.00 90.00
Sites, in units of the cell vectors:
Ac1 0.000 0.000 0.500
Ac2 0.000 0.500 0.000
Ac3 0.500 0.000 0.000
Bi1 0.500 0.500 0.500
P1 0.000 0.000 0.000

* symmetry: Pm-3m, No. 221
* magnetic moment: 0.000 Bohr magnetons per cell
* total energy: -24.98 eV per formula unit
* ρ: 7.75 g/cm³
* DOS(E_F): 4.8 states/eV/f.u.
* DFT formation energy: -674 meV per atom

---

No. 5
Entry from Alexandria: a relaxed structure of ZrFeNi2C (PBE).

abc: 3.889 3.889 3.934
angles: 90.00 90.00 90.00
Sites, in units of the cell vectors:
Zr1 0.000 0.000 0.000
Fe1 0.500 0.500 0.000
Ni1 0.000 0.500 0.500
Ni2 0.500 0.000 0.500
C1 0.500 0.500 0.500

* symmetry: P4/mmm, No. 123
* magnetic moment: 1.833 Bohr magnetons per cell
* total energy: -38.46 eV per formula unit
* ρ: 7.71 g/cm³
* DOS(E_F): 2.5 states/eV/f.u.
* DFT formation energy: -132 meV per atom

---

No. 6
Entry from Alexandria: a relaxed structure of K2Ga2Co (PBE).

abc: 6.600 6.600 6.076
angles: 90.00 90.00 90.00
Sites, in units of the cell vectors:
K1 0.171 0.329 0.000
K2 0.329 0.829 0.000
K3 0.671 0.171 0.000
K4 0.829 0.671 0.000
Ga1 0.221 0.721 0.500
Ga2 0.279 0.221 0.500
Ga3 0.721 0.779 0.500
Ga4 0.779 0.279 0.500
Co1 0.000 0.000 0.500
Co2 0.500 0.500 0.500

* symmetry: P4/mbm, No. 127
* magnetic moment: 0.000 Bohr magnetons per cell
* total energy: -14.38 eV per formula unit
* ρ: 3.47 g/cm³
* DOS(E_F): 2.0 states/eV/f.u.
* DFT formation energy: 195 meV per atom